A relaxed structure of K4BeTl. Source: the Alexandria database, functional PBE-GGA.

abc: 10.4390 10.4390 10.4390
angles: 90.00 90.00 90.00
Closest atoms and distances in Å follow each position.
Space group F-43m (No. 216)
Unique sites:
1 K 0.1253 0.1253 0.1253  6 K 3.68-3.70
2 Be 0.0000 0.0000 0.5000  12 K 4.33, 4 Tl 4.52
3 Tl 0.2500 0.2500 0.7500  12 K 4.33, 4 Be 4.52

Electronic total energy, eV per cell: -25.55
DFT formation energy, eV per atom: 0.682